Record 1
{
  "formula": "CsV2Pt",
  "functional": "PBE-GGA",
  "state": "optimized geometry",
  "energy_ev_per_atom": -5.10,
  "ef_ev_per_atom": 1.1855,
  "magnetic_moment_mub_per_fu": 0.00,
  "space_group": "No. 225",
  "n_ef_per_ev_atom": 1.44,
  "cell": [[0.000, 3.285, 3.285], [3.285, 0.000, 3.285], [3.285, 3.285, 0.000]],
  "species": ["Cs", "V", "V", "Pt"],
  "fractional_positions": [[0.000, 0.000, 0.000], [0.250, 0.250, 0.250], [0.750, 0.750, 0.750], [0.500, 0.500, 0.500]]
}



Record 2
{
  "formula": "CsVPt3",
  "functional": "PBE-GGA",
  "state": "optimized geometry",
  "energy_ev_per_atom": -3.36,
  "ef_ev_per_atom": 2.2540,
  "magnetic_moment_mub_per_fu": 3.78,
  "space_group": "No. 221",
  "n_ef_per_ev_atom": 1.80,
  "cell": [[5.143, 0.000, 0.000], [0.000, 5.143, 0.000], [0.000, 0.000, 5.143]],
  "species": ["Cs", "V", "Pt", "Pt", "Pt"],
  "fractional_positions": [[0.000, 0.000, 0.000], [0.500, 0.500, 0.500], [0.000, 0.000, 0.500], [0.000, 0.500, 0.000], [0.500, 0.000, 0.000]]
}



Record 3
{
  "formula": "CsVPt2",
  "functional": "PBE-GGA",
  "state": "optimized geometry",
  "energy_ev_per_atom": -4.65,
  "ef_ev_per_atom": 0.8648,
  "magnetic_moment_mub_per_fu": 2.10,
  "space_group": "No. 225",
  "n_ef_per_ev_atom": 1.10,
  "cell": [[0.000, 3.490, 3.490], [3.490, 0.000, 3.490], [3.490, 3.490, 0.000]],
  "species": ["Cs", "V", "Pt", "Pt"],
  "fractional_positions": [[0.000, 0.000, 0.000], [0.500, 0.500, 0.500], [0.250, 0.250, 0.250], [0.750, 0.750, 0.750]]
}